The following is a DFT calculation (PBE) of a relaxed structure of KRbGaPb.

Cell lengths 8.1886, 8.1886, 8.1886 Å; angles 90.00, 90.00, 90.00 degrees
Space group F-43m (No. 216)
One atom of each set of equivalent atoms:
K  0.0000  0.0000  0.0000 [4 per cell]
Rb  0.2500  0.2500  0.2500 [4 per cell]
Ga  0.0000  0.0000  0.5000 [4 per cell]
Pb  0.2500  0.2500  0.7500 [4 per cell]

## Properties
Energy = -8.694 eV/f.u.
DFT formation energy = 0.11 eV/f.u.
N(E_F) = 0.77 states/eV per atom